# 1
# ErMg6Cd

A relaxed ErMg6Cd crystal (GGA-PBE, the Alexandria database).

POSCAR file:
```
ErMg6Cd
1.0
4.8579 0.0000 0.0000
0.0000 4.8579 0.0000
0.0000 0.0000 7.8842
Er Mg Cd
1 6 1
Cartesian
0.0000 0.0000 0.0000 Er
0.0000 2.4290 2.0943 Mg
0.0000 2.4290 5.7899 Mg
2.4290 0.0000 2.0943 Mg
2.4290 0.0000 5.7899 Mg
2.4290 2.4290 0.0000 Mg
2.4290 2.4290 3.9421 Mg
0.0000 0.0000 3.9421 Cd
```

Calculated values
M_tot, μB per atom: 0.0000
Formation enthalpy at 0 K, eV per atom: -0.048
Calculated total energy, eV/atom: -1.9284
Space group: No. 123



# 2
# Pr4BiN

A relaxed Pr4BiN crystal (GGA-PBE, the Alexandria database).

POSCAR file:
```
Pr4BiN
1.0
7.6573 -3.1206 0.0000
7.6573 3.1206 0.0000
-2.1722 0.0000 7.1882
Pr Bi N
8 2 2
Cartesian
0.5740 0.4785 3.1963 Pr
-0.5121 -0.4785 6.7904 Pr
2.9395 0.3700 5.8616 Pr
4.0256 -0.3700 2.2675 Pr
9.1168 0.3700 4.9207 Pr
10.2029 -0.3700 1.3266 Pr
13.6545 0.4785 0.3978 Pr
12.5684 -0.4785 3.9919 Pr
7.1142 0.7034 1.7971 Bi
6.0282 -0.7034 5.3912 Bi
2.7426 1.5603 3.5941 N
3.8286 -1.5603 0.0000 N
```

Calculated values
M_tot, μB per atom: 0.0000
Calculated total energy, eV/atom: -5.8853
Space group: No. 15
Energy relative to the elements, uncorrected, eV per atom: -0.665



# 3
# K2VS

A relaxed K2VS crystal (GGA-PBE, the Alexandria database).

POSCAR file:
```
K2VS
1.0
-6.1130 6.1130 2.2916
6.1130 -6.1130 2.2916
6.1130 6.1130 -2.2916
K V S
4 2 2
Cartesian
0.8067 3.0565 0.5729 K
-3.0565 5.3063 1.7187 K
-0.8067 9.1694 0.5729 K
3.0565 6.9196 1.7187 K
6.1130 0.0000 1.1458 V
0.0000 0.0000 2.2916 V
0.0000 0.0000 0.0000 S
0.0000 6.1130 1.1458 S
```

Calculated values
M_tot, μB per atom: 0.9725
Calculated total energy, eV/atom: -4.0245
Space group: No. 122
Energy relative to the elements, uncorrected, eV per atom: -0.164



# 4
# SrP2BrO

A relaxed SrP2BrO crystal (GGA-PBE, the Alexandria database).

POSCAR file:
```
SrP2BrO
1.0
6.1735 0.0000 0.0000
0.0000 6.1735 0.0000
0.0000 0.0000 4.4074
Sr P Br O
1 2 1 1
Cartesian
0.0000 0.0000 0.0000 Sr
0.0000 3.0868 0.0000 P
3.0868 0.0000 0.0000 P
3.0868 3.0868 2.2037 Br
0.0000 0.0000 2.2037 O
```

Calculated values
M_tot, μB per atom: 0.9942
Calculated total energy, eV/atom: -3.1195
Distance to the lowest polymorph of the same formula, meV/atom: 399
Space group: No. 123
Energy relative to the elements, uncorrected, eV per atom: 0.707



# 5
# Ce3CO

A relaxed Ce3CO crystal (GGA-PBE, the Alexandria database).

POSCAR file:
```
Ce3CO
1.0
7.3447 0.0000 0.0000
0.0000 7.3447 0.0000
0.0000 0.0000 7.3447
Ce C O
12 4 4
Cartesian
0.0172 1.8529 2.7493 Ce
0.9231 7.3275 5.5252 Ce
1.8195 4.5954 3.6896 Ce
1.8529 2.7493 0.0172 Ce
2.7493 0.0172 1.8529 Ce
3.6551 5.4918 6.4217 Ce
3.6896 1.8195 4.5954 Ce
4.5954 3.6896 1.8195 Ce
5.4918 6.4217 3.6551 Ce
5.5252 0.9231 7.3275 Ce
6.4217 3.6551 5.4918 Ce
7.3275 5.5252 0.9231 Ce
0.5657 0.5657 0.5657 C
3.1067 6.7790 4.2381 C
4.2381 3.1067 6.7790 C
6.7790 4.2381 3.1067 C
1.1853 4.8576 6.1594 O
2.4871 2.4871 2.4871 O
4.8576 6.1594 1.1853 O
6.1594 1.1853 4.8576 O
```

Calculated values
M_tot, μB per atom: 0.5144
Calculated total energy, eV/atom: -7.4051
Space group: No. 198
Energy relative to the elements, uncorrected, eV per atom: -1.008



# 6
# Zr3CBr3

A relaxed Zr3CBr3 crystal (GGA-PBE, the Alexandria database).

POSCAR file:
```
Zr3CBr3
1.0
3.0598 1.7665 10.3782
-3.0598 1.7665 10.3782
0.0000 -3.5331 10.3782
Zr C Br
6 2 6
Cartesian
-1.0835 -1.6565 11.5962 Zr
-1.9763 0.1101 19.5384 Zr
-0.8928 1.7666 11.5962 Zr
0.8928 -1.7666 19.5384 Zr
1.9763 -0.1101 11.5962 Zr
1.0835 1.6565 19.5384 Zr
0.0000 0.0000 10.3782 C
0.0000 0.0000 20.7564 C
-2.0510 0.0191 13.5271 Br
-1.0420 -1.7666 17.6075 Br
1.0089 -1.7858 13.5271 Br
-1.0089 1.7858 17.6075 Br
1.0420 1.7666 13.5270 Br
2.0510 -0.0191 17.6075 Br
```

Calculated values
M_tot, μB per atom: 0.0000
Calculated total energy, eV/atom: -6.8027
Space group: No. 148
Energy relative to the elements, uncorrected, eV per atom: -1.105



# 7
# TbPm2ErSc4

A relaxed TbPm2ErSc4 crystal (GGA-PBE, the Alexandria database).

POSCAR file:
```
TbPm2ErSc4
1.0
5.9640 0.0000 0.0000
0.0000 3.4427 0.0000
-1.9631 0.0000 11.0054
Tb Pm Er Sc
1 2 1 4
Cartesian
0.0000 0.0000 0.0000 Tb
2.0005 0.0000 5.5027 Pm
2.9820 1.7214 0.0000 Pm
-0.9815 1.7214 5.5027 Er
0.0092 0.0000 8.2467 Sc
0.9945 1.7214 2.7562 Sc
3.0064 1.7214 8.2491 Sc
3.9917 0.0000 2.7586 Sc
```

Calculated values
M_tot, μB per atom: 0.0000
Formation enthalpy at 0 K, eV per atom: 0.062
Calculated total energy, eV/atom: -5.4404
Space group: No. 10



# 8
# CuNiI3

A relaxed CuNiI3 crystal (GGA-PBE, the Alexandria database).

POSCAR file:
```
CuNiI3
1.0
7.0731 0.0000 0.0000
0.0000 7.7823 0.0000
-6.6254 0.0000 11.4320
Cu Ni I
4 4 12
Cartesian
-0.6564 0.0917 1.5416 Cu
-3.9691 3.7995 7.2576 Cu
4.4169 3.9829 4.1744 Cu
1.1042 7.6906 9.8904 Cu
3.0918 1.9175 0.0147 Ni
-0.2209 1.9737 5.7307 Ni
0.6686 5.8086 5.7013 Ni
-2.6441 5.8648 11.4173 Ni
-2.8992 1.9137 5.7754 I
0.4135 1.9775 0.0594 I
-0.0453 3.9926 3.9362 I
-3.3580 7.6809 9.6522 I
0.3381 0.0927 3.9504 I
-2.9746 3.7984 9.6664 I
3.4224 3.9839 1.7656 I
0.1097 7.6896 7.4816 I
3.8058 0.1014 1.7798 I
0.4931 3.7898 7.4958 I
0.0342 5.8049 11.3726 I
3.3469 5.8686 5.6566 I
```

Calculated values
M_tot, μB per atom: 0.3516
Calculated total energy, eV/atom: -2.9608
Distance to the lowest polymorph of the same formula, meV/atom: 0
Space group: No. 14
Energy relative to the elements, uncorrected, eV per atom: -0.055



# 9
# BaYOs2

A relaxed BaYOs2 crystal (GGA-PBE, the Alexandria database).

POSCAR file:
```
BaYOs2
1.0
3.4585 0.0000 0.0000
0.0000 4.8040 0.0000
0.0000 0.0000 5.1476
Ba Y Os
1 1 2
Cartesian
0.0000 0.0000 0.0000 Ba
1.7293 0.0000 2.5738 Y
0.0000 2.4020 2.5738 Os
1.7293 2.4020 0.0000 Os
```

Calculated values
M_tot, μB per atom: 0.0013
Formation enthalpy at 0 K, eV per atom: 1.077
Calculated total energy, eV/atom: -6.6349
Distance to the lowest polymorph of the same formula, meV/atom: 972
Space group: No. 47



# 10
# AlTcOsRu

A relaxed AlTcOsRu crystal (GGA-PBE, the Alexandria database).

POSCAR file:
```
AlTcOsRu
1.0
0.0000 3.0530 3.0530
3.0530 0.0000 3.0530
3.0530 3.0530 0.0000
Al Tc Os Ru
1 1 1 1
Cartesian
0.0000 0.0000 0.0000 Al
3.0530 3.0530 3.0530 Tc
1.5265 1.5265 1.5265 Os
4.5794 4.5794 4.5794 Ru
```

Calculated values
M_tot, μB per atom: 0.0108
Formation enthalpy at 0 K, eV per atom: -0.062
Calculated total energy, eV/atom: -8.7154
Space group: No. 216



# 11
# Mg6AgPt3

A relaxed Mg6AgPt3 crystal (GGA-PBE, the Alexandria database).

POSCAR file:
```
Mg6AgPt3
1.0
7.9666 0.0000 0.0000
0.0000 4.6002 0.0000
-2.6192 0.0000 9.4464
Mg Ag Pt
12 2 6
Cartesian
-0.8239 1.1500 3.8739 Mg
0.5657 3.4501 1.7593 Mg
-0.7297 1.1500 9.3286 Mg
0.5447 3.4501 7.4305 Mg
1.9121 1.1500 2.8923 Mg
1.8282 1.1500 5.6970 Mg
3.5192 3.4501 3.7494 Mg
3.4353 3.4501 6.5541 Mg
4.8027 1.1500 2.0159 Mg
6.0771 3.4501 0.1178 Mg
4.7817 1.1500 7.6871 Mg
6.1713 3.4501 5.5725 Mg
3.3304 3.4501 0.9219 Ag
2.0170 1.1500 8.5245 Ag
-2.0089 3.4501 8.3970 Pt
-0.6952 1.1500 6.6168 Pt
0.8549 3.4501 4.5222 Pt
4.4925 1.1500 4.9242 Pt
6.0426 3.4501 2.8296 Pt
7.3563 1.1500 1.0494 Pt
```

Calculated values
M_tot, μB per atom: 0.0000
Formation enthalpy at 0 K, eV per atom: -0.603
Calculated total energy, eV/atom: -3.6572
Space group: No. 11



# 12
# FeTc2Ir

A relaxed FeTc2Ir crystal (GGA-PBE, the Alexandria database).

POSCAR file:
```
FeTc2Ir
1.0
0.0000 3.0513 3.0513
3.0513 0.0000 3.0513
3.0513 3.0513 0.0000
Fe Tc Ir
1 2 1
Cartesian
0.0000 0.0000 0.0000 Fe
3.0513 3.0513 3.0513 Tc
4.5770 4.5770 4.5770 Tc
1.5257 1.5257 1.5257 Ir
```

Calculated values
M_tot, μB per atom: 0.6503
Formation enthalpy at 0 K, eV per atom: 0.214
Calculated total energy, eV/atom: -9.3000
Distance to the lowest polymorph of the same formula, meV/atom: 263
Space group: No. 216